# 1
# POsPdO | OQMD | PBE | relaxed
data_POsPdO
_symmetry_space_group_name_H-M 'P 4/n m m'
_symmetry_Int_Tables_number 129
_cell_length_a 3.734
_cell_length_b 3.734
_cell_length_c 7.103
_cell_angle_alpha 90.00
_cell_angle_beta 90.00
_cell_angle_gamma 90.00
loop_
_symmetry_equiv_pos_as_xyz
'x,y,z'
'-x,-y,-z'
'-y+1/2,x,z'
'y+1/2,-x,-z'
'-x+1/2,-y+1/2,z'
'x+1/2,y+1/2,-z'
'y,-x+1/2,z'
'-y,x+1/2,-z'
'x+1/2,-y,-z'
'-x+1/2,y,z'
'-y,-x,-z'
'y,x,z'
'-x,y+1/2,-z'
'x,-y+1/2,z'
'y+1/2,x+1/2,-z'
'-y+1/2,-x+1/2,z'
loop_
_atom_site_label
_atom_site_type_symbol
_atom_site_fract_x
_atom_site_fract_y
_atom_site_fract_z
P1 P 0.250 0.250 0.225
Os1 Os 0.250 0.250 0.672
Pd1 Pd 0.250 0.750 0.000
O1 O 0.250 0.750 0.500
# * density: 11.5 g/cm3
# * energy: -26.00 eV/f.u.
# * distance to the lowest polymorph of the same formula: 447 meV per atom

# 2
# Pr2P2OsPdO2 | OQMD | PBE | relaxed
data_Pr2P2OsPdO2
_symmetry_space_group_name_H-M 'P -4 m 2'
_symmetry_Int_Tables_number 115
_symmetry_space_group_name_Hall 'P -4 -2'
_cell_length_a 4.052
_cell_length_b 4.052
_cell_length_c 8.388
_cell_angle_alpha 90.00
_cell_angle_beta 90.00
_cell_angle_gamma 90.00
loop_
_atom_site_label
_atom_site_type_symbol
_atom_site_fract_x
_atom_site_fract_y
_atom_site_fract_z
Pr1 Pr 0.000 0.500 0.143
P1 P 0.000 0.500 0.651
Os1 Os 0.000 0.000 0.500
Pd1 Pd 0.500 0.500 0.500
O1 O 0.000 0.000 0.000
O2 O 0.500 0.500 0.000
# * density: 8.1 g/cm3
# * energy: -61.10 eV/f.u.

# 3
# Pr2P2OsPtO2 | OQMD | PBE | relaxed
data_Pr2P2OsPtO2
_symmetry_space_group_name_H-M 'P -4 m 2'
_symmetry_Int_Tables_number 115
_symmetry_space_group_name_Hall 'P -4 -2'
_cell_length_a 4.022
_cell_length_b 4.022
_cell_length_c 8.475
_cell_angle_alpha 90.00
_cell_angle_beta 90.00
_cell_angle_gamma 90.00
loop_
_atom_site_label
_atom_site_type_symbol
_atom_site_fract_x
_atom_site_fract_y
_atom_site_fract_z
Pr1 Pr 0.000 0.500 0.144
P1 P 0.000 0.500 0.655
Os1 Os 0.500 0.500 0.500
Pt1 Pt 0.000 0.000 0.500
O1 O 0.000 0.000 0.000
O2 O 0.500 0.500 0.000
# * density: 9.2 g/cm3
# * energy: -62.07 eV/f.u.

# 4
# PrSmP2Os2O2 | OQMD | PBE | relaxed
data_PrSmP2Os2O2
_symmetry_space_group_name_H-M 'P 4 m m'
_symmetry_Int_Tables_number 99
_symmetry_space_group_name_Hall 'P 4 -2'
_cell_length_a 4.041
_cell_length_b 4.041
_cell_length_c 8.208
_cell_angle_alpha 90.00
_cell_angle_beta 90.00
_cell_angle_gamma 90.00
loop_
_atom_site_label
_atom_site_type_symbol
_atom_site_fract_x
_atom_site_fract_y
_atom_site_fract_z
Pr1 Pr 0.000 0.000 0.000
Sm1 Sm 0.500 0.500 0.284
P1 P 0.000 0.000 0.494
P2 P 0.500 0.500 0.789
Os1 Os 0.000 0.500 0.641
O1 O 0.000 0.500 0.148
# * density: 9.5 g/cm3
# * energy: -67.35 eV/f.u.

# 5
# TbPrP2Os2O2 | OQMD | PBE | relaxed
data_TbPrP2Os2O2
_symmetry_space_group_name_H-M 'P 4 m m'
_symmetry_Int_Tables_number 99
_symmetry_space_group_name_Hall 'P 4 -2'
_cell_length_a 4.025
_cell_length_b 4.025
_cell_length_c 8.140
_cell_angle_alpha 90.00
_cell_angle_beta 90.00
_cell_angle_gamma 90.00
loop_
_atom_site_label
_atom_site_type_symbol
_atom_site_fract_x
_atom_site_fract_y
_atom_site_fract_z
Tb1 Tb 0.000 0.000 0.000
Pr1 Pr 0.500 0.500 0.720
P1 P 0.000 0.000 0.510
P2 P 0.500 0.500 0.212
Os1 Os 0.000 0.500 0.360
O1 O 0.000 0.500 0.872
# * density: 9.8 g/cm3
# * energy: -67.37 eV/f.u.

# 6
# Tb2P2OsPtO2 | OQMD | PBE | relaxed
data_Tb2P2OsPtO2
_symmetry_space_group_name_H-M 'P -4 m 2'
_symmetry_Int_Tables_number 115
_symmetry_space_group_name_Hall 'P -4 -2'
_cell_length_a 3.964
_cell_length_b 3.964
_cell_length_c 8.090
_cell_angle_alpha 90.00
_cell_angle_beta 90.00
_cell_angle_gamma 90.00
loop_
_atom_site_label
_atom_site_type_symbol
_atom_site_fract_x
_atom_site_fract_y
_atom_site_fract_z
Tb1 Tb 0.000 0.500 0.135
P1 P 0.000 0.500 0.665
Os1 Os 0.500 0.500 0.500
Pt1 Pt 0.000 0.000 0.500
O1 O 0.000 0.000 0.000
O2 O 0.500 0.500 0.000
# * density: 10.4 g/cm3
# * energy: -62.35 eV/f.u.

# 7
# RbP2OsO8 | OQMD | PBE | relaxed
data_RbP2OsO8
_symmetry_space_group_name_H-M 'P -3'
_symmetry_Int_Tables_number 147
_symmetry_space_group_name_Hall '-P 3'
_cell_length_a 4.6954
_cell_length_b 4.6954
_cell_length_c 8.4831
_cell_angle_alpha 90.00
_cell_angle_beta 90.00
_cell_angle_gamma 120.00
loop_
_atom_site_label
_atom_site_type_symbol
_atom_site_fract_x
_atom_site_fract_y
_atom_site_fract_z
Rb1 Rb 0.0000 0.0000 0.0000
P1 P 0.3333 0.6667 0.7070
Os1 Os 0.0000 0.0000 0.5000
O1 O 0.0327 0.3481 0.6382
O2 O 0.3333 0.6667 0.8823
# * density: 4.8 g/cm3
# * energy: -84.05 eV/f.u.
# * distance to the lowest polymorph of the same formula: 14 meV per atom

# 8
# RbP2OsO8 | OQMD | PBE | relaxed
data_RbP2OsO8
_symmetry_space_group_name_H-M 'R -3'
_symmetry_Int_Tables_number 148
_symmetry_space_group_name_Hall '-R 3'
_cell_length_a 4.7657
_cell_length_b 4.7657
_cell_length_c 25.1783
_cell_angle_alpha 90.00
_cell_angle_beta 90.00
_cell_angle_gamma 120.00
loop_
_atom_site_label
_atom_site_type_symbol
_atom_site_fract_x
_atom_site_fract_y
_atom_site_fract_z
Rb1 Rb 0.0000 0.0000 0.0000
P1 P 0.0000 0.0000 0.2356
Os1 Os 0.0000 0.0000 0.5000
O1 O 0.0000 0.0000 0.2946
O2 O 0.0159 0.3723 0.8792
# * density: 4.7 g/cm3
# * energy: -84.22 eV/f.u.
# * distance to the lowest polymorph of the same formula: 0 meV per atom

# 9
# SbPOsO | OQMD | PBE | relaxed
data_SbPOsO
_symmetry_space_group_name_H-M 'P m c 21'
_symmetry_Int_Tables_number 26
_symmetry_space_group_name_Hall 'P 2c -2'
_cell_length_a 4.158
_cell_length_b 6.025
_cell_length_c 5.404
_cell_angle_alpha 90.00
_cell_angle_beta 90.00
_cell_angle_gamma 90.00
loop_
_atom_site_label
_atom_site_type_symbol
_atom_site_fract_x
_atom_site_fract_y
_atom_site_fract_z
Sb1 Sb 0.000 0.190 0.000
P1 P 0.000 0.280 0.501
Os1 Os 0.500 0.443 0.556
O1 O 0.500 0.246 0.867
# * density: 8.8 g/cm3
# * energy: -25.78 eV/f.u.
# * distance to the lowest polymorph of the same formula: 414 meV per atom

# 10
# SbPOsO | OQMD | PBE | relaxed
data_SbPOsO
_symmetry_space_group_name_H-M 'P m c 21'
_symmetry_Int_Tables_number 26
_symmetry_space_group_name_Hall 'P 2c -2'
_cell_length_a 3.743
_cell_length_b 6.706
_cell_length_c 5.909
_cell_angle_alpha 90.00
_cell_angle_beta 90.00
_cell_angle_gamma 90.00
loop_
_atom_site_label
_atom_site_type_symbol
_atom_site_fract_x
_atom_site_fract_y
_atom_site_fract_z
Sb1 Sb 0.000 0.023 0.000
P1 P 0.500 0.238 0.464
Os1 Os 0.500 0.448 0.140
O1 O 0.000 0.446 0.135
# * density: 8.0 g/cm3
# * energy: -26.27 eV/f.u.
# * distance to the lowest polymorph of the same formula: 291 meV per atom

# 11
# SbPOsO | OQMD | PBE | relaxed
data_SbPOsO
_symmetry_space_group_name_H-M 'P 4/n m m'
_symmetry_Int_Tables_number 129
_cell_length_a 4.157
_cell_length_b 4.157
_cell_length_c 9.468
_cell_angle_alpha 90.00
_cell_angle_beta 90.00
_cell_angle_gamma 90.00
loop_
_symmetry_equiv_pos_as_xyz
'x,y,z'
'-x,-y,-z'
'-y+1/2,x,z'
'y+1/2,-x,-z'
'-x+1/2,-y+1/2,z'
'x+1/2,y+1/2,-z'
'y,-x+1/2,z'
'-y,x+1/2,-z'
'x+1/2,-y,-z'
'-x+1/2,y,z'
'-y,-x,-z'
'y,x,z'
'-x,y+1/2,-z'
'x,-y+1/2,z'
'y+1/2,x+1/2,-z'
'-y+1/2,-x+1/2,z'
loop_
_atom_site_label
_atom_site_type_symbol
_atom_site_fract_x
_atom_site_fract_y
_atom_site_fract_z
Sb1 Sb 0.250 0.750 0.000
P1 P 0.250 0.250 0.221
Os1 Os 0.250 0.250 0.443
O1 O 0.250 0.750 0.500
# * density: 7.3 g/cm3
# * energy: -24.35 eV/f.u.
# * distance to the lowest polymorph of the same formula: 771 meV per atom

# 12
# SbPOsO | OQMD | PBE | relaxed
data_SbPOsO
_symmetry_space_group_name_H-M 'P 4/n m m'
_symmetry_Int_Tables_number 129
_cell_length_a 3.988
_cell_length_b 3.988
_cell_length_c 8.199
_cell_angle_alpha 90.00
_cell_angle_beta 90.00
_cell_angle_gamma 90.00
loop_
_symmetry_equiv_pos_as_xyz
'x,y,z'
'-x,-y,-z'
'-y+1/2,x,z'
'y+1/2,-x,-z'
'-x+1/2,-y+1/2,z'
'x+1/2,y+1/2,-z'
'y,-x+1/2,z'
'-y,x+1/2,-z'
'x+1/2,-y,-z'
'-x+1/2,y,z'
'-y,-x,-z'
'y,x,z'
'-x,y+1/2,-z'
'x,-y+1/2,z'
'y+1/2,x+1/2,-z'
'-y+1/2,-x+1/2,z'
loop_
_atom_site_label
_atom_site_type_symbol
_atom_site_fract_x
_atom_site_fract_y
_atom_site_fract_z
Sb1 Sb 0.250 0.250 0.141
P1 P 0.250 0.250 0.649
Os1 Os 0.250 0.750 0.500
O1 O 0.250 0.750 0.000
# * density: 9.1 g/cm3
# * energy: -27.43 eV/f.u.
# * distance to the lowest polymorph of the same formula: 0 meV per atom

The lowest density belongs to which entry?
number 8

The highest density belongs to which entry?
POsPdO